## A
A relaxed structure of ZnCrBr2, computed with PBE.

The total moment comes out at 1.00 μB per atom. The density of states at the Fermi level comes out at 3.3 states/eV/cell. The calculation puts the density at 4.4 g/cm³.

a b c (Å): 9.100 9.100 9.100
angles (deg): 23.34 23.34 23.34
Sites, in units of the cell vectors:
Zn (0.000, 0.000, 0.000)
Cr (0.738, 0.738, 0.738)
Br (0.275, 0.275, 0.275)
Br (0.462, 0.462, 0.462)

***

## B
A relaxed structure of ZnCrBr2, computed with PBE.

The total moment comes out at 1.21 μB per atom. The density of states at the Fermi level comes out at 1.0 states/eV/cell. The calculation puts the density at 4.4 g/cm³.

a b c (Å): 3.899 3.900 6.863
angles (deg): 90.00 90.00 90.00
Sites, in units of the cell vectors:
Zn (0.000, 0.000, 0.000)
Cr (0.500, 0.000, 0.500)
Br (0.000, 0.500, 0.500)
Br (0.500, 0.500, 0.000)

***

## C
A relaxed structure of ZnCrBr2, computed with PBE.

The total moment comes out at 1.00 μB per atom. The density of states at the Fermi level comes out at 0.1 states/eV/cell. The calculation puts the density at 3.3 g/cm³.

a b c (Å): 4.257 3.574 9.127
angles (deg): 90.00 97.79 90.00
Sites, in units of the cell vectors:
Zn (0.000, 0.000, 0.000)
Cr (0.500, 0.000, 0.500)
Br (0.365, 0.500, 0.673)
Br (0.635, 0.500, 0.327)

***

It is B that is the least stable of them.

***

## A
A relaxed structure of Zn2Cr2Br, computed with PBE.

The total moment comes out at 0.23 μB per atom. The density of states at the Fermi level comes out at 5.9 states/eV/cell. The calculation puts the density at 5.9 g/cm³.

a b c (Å): 7.671 7.671 3.005
angles (deg): 90.00 90.00 90.00
Sites, in units of the cell vectors:
Zn (0.198, 0.302, 0.000)
Zn (0.302, 0.802, 0.000)
Zn (0.698, 0.198, 0.000)
Zn (0.802, 0.698, 0.000)
Cr (0.086, 0.586, 0.500)
Cr (0.414, 0.086, 0.500)
Cr (0.586, 0.914, 0.500)
Cr (0.914, 0.414, 0.500)
Br (0.000, 0.000, 0.000)
Br (0.500, 0.500, 0.000)

***

## B
A relaxed structure of Zn2Cr2Br, computed with PBE.

The total moment comes out at 0.00 μB per atom. The density of states at the Fermi level comes out at 2.6 states/eV/cell. The calculation puts the density at 6.0 g/cm³.

a b c (Å): 8.371 8.371 8.371
angles (deg): 157.36 157.36 32.23
Sites, in units of the cell vectors:
Zn (0.121, 0.121, 0.000)
Zn (0.879, 0.879, 0.000)
Cr (0.250, 0.750, 0.500)
Cr (0.750, 0.250, 0.500)
Br (0.500, 0.500, 0.000)

***

It is A that is the least stable of them.

***

## A
A relaxed structure of ZnCrBr, computed with PBE.

The total moment comes out at 1.46 μB per atom. The density of states at the Fermi level comes out at 2.1 states/eV/cell. The calculation puts the density at 5.0 g/cm³.

a b c (Å): 3.557 3.557 5.931
angles (deg): 90.00 90.00 120.00
Sites, in units of the cell vectors:
Zn (0.000, 0.000, 0.000)
Cr (0.667, 0.333, 0.294)
Br (0.333, 0.667, 0.592)

***

## B
A relaxed structure of ZnCrBr, computed with PBE.

The total moment comes out at 1.65 μB per atom. The density of states at the Fermi level comes out at 0.9 states/eV/cell. The calculation puts the density at 4.3 g/cm³.

a b c (Å): 4.754 4.754 4.754
angles (deg): 60.00 60.00 60.00
Sites, in units of the cell vectors:
Zn (0.000, 0.000, 0.000)
Cr (0.250, 0.250, 0.250)
Br (0.750, 0.750, 0.750)

***

It is B that is the least stable of them.

***

## A
A relaxed structure of Zn3CrBr, computed with PBE.

The total moment comes out at 1.00 μB per atom. The density of states at the Fermi level comes out at 1.6 states/eV/cell. The calculation puts the density at 3.9 g/cm³.

a b c (Å): 5.182 5.182 5.182
angles (deg): 90.00 90.00 90.00
Sites, in units of the cell vectors:
Zn (0.000, 0.000, 0.500)
Zn (0.000, 0.500, 0.000)
Zn (0.500, 0.000, 0.000)
Cr (0.500, 0.500, 0.500)
Br (0.000, 0.000, 0.000)

***

## B
A relaxed structure of Zn3CrBr, computed with PBE.

The total moment comes out at 0.96 μB per atom. The density of states at the Fermi level comes out at 1.0 states/eV/cell. The calculation puts the density at 4.1 g/cm³.

a b c (Å): 5.110 5.110 5.110
angles (deg): 90.00 90.00 90.00
Sites, in units of the cell vectors:
Zn (0.000, 0.000, 0.500)
Zn (0.000, 0.500, 0.000)
Zn (0.500, 0.000, 0.000)
Cr (0.000, 0.000, 0.000)
Br (0.500, 0.500, 0.500)

***

It is A that is the least stable of them.

***

## A
A relaxed structure of ZrCrBr, computed with PBE.

The total moment comes out at 1.27 μB per atom. The density of states at the Fermi level comes out at 3.3 states/eV/cell. The calculation puts the density at 5.2 g/cm³.

a b c (Å): 4.667 4.667 4.667
angles (deg): 60.00 60.00 60.00
Sites, in units of the cell vectors:
Zr (0.000, 0.000, 0.000)
Cr (0.750, 0.750, 0.750)
Br (0.250, 0.250, 0.250)

***

## B
A relaxed structure of ZrCrBr, computed with PBE.

The total moment comes out at 0.54 μB per atom. The density of states at the Fermi level comes out at 2.2 states/eV/cell. The calculation puts the density at 6.9 g/cm³.

a b c (Å): 4.380 4.380 3.212
angles (deg): 90.00 90.00 120.00
Sites, in units of the cell vectors:
Zr (0.000, 0.000, 0.000)
Cr (0.667, 0.333, 0.500)
Br (0.333, 0.667, 0.500)

***

## C
A relaxed structure of ZrCrBr, computed with PBE.

The total moment comes out at 1.00 μB per atom. The density of states at the Fermi level comes out at 1.5 states/eV/cell. The calculation puts the density at 5.9 g/cm³.

a b c (Å): 4.472 4.472 4.472
angles (deg): 60.00 60.00 60.00
Sites, in units of the cell vectors:
Zr (0.000, 0.000, 0.000)
Cr (0.500, 0.500, 0.500)
Br (0.250, 0.250, 0.250)

***

## D
A relaxed structure of ZrCrBr, computed with PBE.

The total moment comes out at 1.05 μB per atom. The density of states at the Fermi level comes out at 2.1 states/eV/cell. The calculation puts the density at 5.5 g/cm³.

a b c (Å): 3.372 3.372 6.851
angles (deg): 90.00 90.00 120.00
Sites, in units of the cell vectors:
Zr (0.000, 0.000, 0.000)
Cr (0.333, 0.667, 0.700)
Br (0.667, 0.333, 0.294)

***

It is A that is the least stable of them.

***

## A
A relaxed structure of ZrCr3Br, computed with PBE.

The total moment comes out at 2.18 μB per atom. The density of states at the Fermi level comes out at 7.3 states/eV/cell. The calculation puts the density at 4.4 g/cm³.

a b c (Å): 4.993 4.993 4.993
angles (deg): 90.00 90.00 90.00
Sites, in units of the cell vectors:
Zr (0.000, 0.000, 0.000)
Cr (0.000, 0.000, 0.500)
Cr (0.000, 0.500, 0.000)
Cr (0.500, 0.000, 0.000)
Br (0.500, 0.500, 0.500)

***

## B
A relaxed structure of ZrCr3Br, computed with PBE.

The total moment comes out at 0.54 μB per atom. The density of states at the Fermi level comes out at 3.2 states/eV/cell. The calculation puts the density at 6.4 g/cm³.

a b c (Å): 4.392 4.392 4.392
angles (deg): 90.00 90.00 90.00
Sites, in units of the cell vectors:
Zr (0.000, 0.000, 0.000)
Cr (0.000, 0.500, 0.500)
Cr (0.500, 0.000, 0.500)
Cr (0.500, 0.500, 0.000)
Br (0.500, 0.500, 0.500)

***

It is A that is the least stable of them.